Computed, not measured: a relaxed structure of NaTaO3 at the PBE level of DFT.

Unit cell a=3.792 b=3.792 c=8.202 alpha=90.00 beta=90.00 gamma=120.00
Sites, in units of the cell vectors:
Ta  0.000  0.000  0.000
Ta  0.000  0.000  0.500
O  0.667  0.333  0.966
O  0.333  0.667  0.034
O  0.000  0.000  0.750
O  0.333  0.667  0.466
O  0.667  0.333  0.534
O  0.000  0.000  0.250
Na  0.667  0.333  0.250
Na  0.333  0.667  0.750

Calculated values
- density of states at the Fermi level (states/eV/atom) = 0.000
- formation energy (no corrections) (eV per atom) = -2.15
- SG = P6_3/mmc (194)
- spin magnetization (μB per atom) = 0.0000

***

Computed, not measured: a relaxed structure of TmAlCr2S6 at the PBE level of DFT.

Unit cell a=6.231 b=6.231 c=6.668 alpha=62.15 beta=62.15 gamma=60.00
Each line ends with the local moment (μB).
Sites, in units of the cell vectors:
Al  0.320  0.320  0.040  0.03
S  0.377  0.724  0.759  -0.05
S  0.913  0.606  0.236  -0.05
S  0.724  0.139  0.759  -0.05
S  0.245  0.913  0.236  -0.05
S  0.606  0.245  0.236  -0.05
S  0.139  0.377  0.759  -0.05
Cr  0.513  0.513  0.460  2.89
Cr  0.010  0.010  0.971  2.83
Tm  0.814  0.814  0.558  0.05

Calculated values
- formation energy (no corrections) (eV per atom) = -1.06
- SG = R3 (146)
- spin magnetization (μB per atom) = 0.6000

***

Computed, not measured: a relaxed structure of Ca2NdCd2In2 at the PBE level of DFT.

Unit cell a=4.995 b=4.995 c=9.887 alpha=75.37 beta=75.37 gamma=60.00
Sites, in units of the cell vectors:
Cd  0.606  0.606  0.181
Cd  0.394  0.394  0.819
Ca  0.128  0.128  0.616
Ca  0.872  0.872  0.384
In  0.259  0.259  0.222
In  0.741  0.741  0.778
Nd  0.000  0.000  0.000

Calculated values
- energy of formation from the pure elements (eV per atom) = -0.35
- density of states at the Fermi level (states/eV/atom) = 0.400
- SG = R-3m (166)
- spin magnetization (μB per atom) = 0.0000